Crystalline Ag3RhCl at its relaxed geometry, computed with GGA-PBE.

Cell and atoms, written as POSCAR:
```
Ag3RhCl
1.0
4.831 0.000 0.000
0.000 4.831 0.000
0.000 0.000 4.831
Ag Rh Cl
3 1 1
direct
0.000 0.000 0.500
0.000 0.500 0.000
0.500 0.000 0.000
0.500 0.500 0.500
0.000 0.000 0.000
```

Results
* final energy: -2.549 eV per atom
* symmetry: No. 221

***

Crystalline TaTc at its relaxed geometry, computed with GGA-PBE.

Cell and atoms, written as POSCAR:
```
TaTc
1.0
1.593 -2.343 0.000
1.593 2.343 0.000
0.000 0.000 4.366
Ta Tc
1 1
direct
0.000 0.000 0.000
0.500 0.500 0.500
```

Results
* energy of formation: -0.20 eV per atom
* final energy: -11.308 eV per atom
* symmetry: No. 65

***

Crystalline NdCu4Rh at its relaxed geometry, computed with GGA-PBE.

Cell and atoms, written as POSCAR:
```
NdCu4Rh
1.0
0.000 3.572 3.572
3.572 0.000 3.572
3.572 3.572 0.000
Nd Cu Rh
1 4 1
direct
0.000 0.000 0.000
0.376 0.376 0.376
0.376 0.376 0.871
0.376 0.871 0.376
0.871 0.376 0.376
0.750 0.750 0.750
```

Results
* energy of formation: -0.20 eV per atom
* final energy: -4.953 eV per atom
* symmetry: No. 216

***

Crystalline HoEr2Ni at its relaxed geometry, computed with GGA-PBE.

Cell and atoms, written as POSCAR:
```
HoEr2Ni
1.0
1.804 1.042 9.372
-1.804 1.042 9.372
0.000 -2.084 9.372
Ho Er Ni
1 2 1
direct
0.000 0.000 0.000
0.228 0.228 0.228
0.772 0.772 0.772
0.500 0.500 0.500
```

Results
* energy of formation: -0.09 eV per atom
* ΔE to the lowest computed polymorph: 178 meV per atom
* final energy: -4.958 eV per atom
* symmetry: No. 166

***

Crystalline Pu2MnCoGe6 at its relaxed geometry, computed with GGA-PBE.

Cell and atoms, written as POSCAR:
```
Pu2MnCoGe6
1.0
3.044 1.758 11.554
-3.044 1.758 11.554
0.000 -3.515 11.554
Pu Mn Co Ge
4 2 2 12
direct
0.114 0.114 0.114
0.295 0.295 0.295
0.705 0.705 0.705
0.886 0.886 0.886
0.000 0.000 0.000
0.500 0.500 0.500
0.429 0.429 0.429
0.571 0.571 0.571
0.072 0.656 0.656
0.230 0.230 0.665
0.230 0.665 0.230
0.335 0.770 0.770
0.344 0.344 0.928
0.344 0.928 0.344
0.656 0.072 0.656
0.656 0.656 0.072
0.665 0.230 0.230
0.770 0.335 0.770
0.770 0.770 0.335
0.928 0.344 0.344
```

Results
* energy of formation: -0.26 eV per atom
* final energy: -7.525 eV per atom
* symmetry: No. 166

***

Crystalline HfZr2AlH at its relaxed geometry, computed with GGA-PBE.

Cell and atoms, written as POSCAR:
```
HfZr2AlH
1.0
4.228 0.000 0.000
0.000 4.228 0.000
0.000 0.000 4.806
Hf Zr Al H
1 2 1 1
direct
0.000 0.000 0.000
0.000 0.500 0.500
0.500 0.000 0.500
0.500 0.500 0.000
0.500 0.500 0.500
```

Results
* ΔE to the lowest computed polymorph: 123 meV per atom
* final energy: -7.067 eV per atom
* symmetry: No. 123

***

Crystalline YNiMo2 at its relaxed geometry, computed with GGA-PBE.

Cell and atoms, written as POSCAR:
```
YNiMo2
1.0
-1.535 2.220 5.111
1.535 -2.220 5.111
1.535 2.220 -5.111
Y Ni Mo
1 1 2
direct
0.000 0.000 0.000
0.500 0.500 0.000
0.275 0.775 0.500
0.725 0.225 0.500
```

Results
* energy of formation: 0.24 eV per atom
* ΔE to the lowest computed polymorph: 118 meV per atom
* final energy: -8.242 eV per atom
* symmetry: No. 71

***

Crystalline Sc2BiOsO8 at its relaxed geometry, computed with GGA-PBE.

Cell and atoms, written as POSCAR:
```
Sc2BiOsO8
1.0
3.423 -3.435 0.000
3.423 3.435 0.000
0.000 0.000 6.600
Sc Bi Os O
2 1 1 8
direct
0.000 0.000 0.248
0.000 0.000 0.752
0.500 0.500 0.000
0.500 0.500 0.500
0.179 0.179 0.000
0.221 0.221 0.500
0.308 0.692 0.285
0.308 0.692 0.715
0.692 0.308 0.285
0.692 0.308 0.715
0.779 0.779 0.500
0.821 0.821 0.000
```

Results
* final energy: -7.665 eV per atom
* symmetry: No. 65